! Tc2PbW, relaxed, DFT PBE-GGA; values from VASP
&SYSTEM
  ibrav = 0, nat = 4, ntyp = 3
/
ATOMIC_SPECIES
Pb 207.20 Pb.upf
Tc 98.00 Tc.upf
W 183.84 W.upf
CELL_PARAMETERS angstrom
-0.875 2.973 -0.653
-0.935 0.384 3.001
6.330 2.232 1.687
ATOMIC_POSITIONS crystal
Pb 0.500 0.500 0.750
Tc 0.000 0.000 0.466
Tc 0.000 0.000 0.034
W 0.500 0.500 0.250
! Space group: P4/mmm
! DFT total energy: -35.907 eV per cell



! MgAu, relaxed, DFT PBE-GGA; values from VASP
&SYSTEM
  ibrav = 0, nat = 4, ntyp = 2
/
ATOMIC_SPECIES
Mg 24.30 Mg.upf
Au 196.97 Au.upf
CELL_PARAMETERS angstrom
-0.589 0.143 -4.211
-2.406 -2.560 2.399
-3.630 4.015 0.644
ATOMIC_POSITIONS crystal
Mg 0.333 0.667 0.250
Au 0.000 0.000 0.500
Au 0.000 0.000 0.000
Mg 0.667 0.333 0.750
! Space group: P6_3/mmc
! DFT total energy: -11.576 eV per cell



! LiLaNdHg, relaxed, DFT PBE-GGA; values from VASP
&SYSTEM
  ibrav = 0, nat = 4, ntyp = 4
/
ATOMIC_SPECIES
Nd 144.24 Nd.upf
Li 6.94 Li.upf
Hg 200.59 Hg.upf
La 138.91 La.upf
CELL_PARAMETERS angstrom
-4.388 2.260 -2.306
-2.699 -2.664 -3.911
-4.955 -2.028 1.007
ATOMIC_POSITIONS crystal
Nd 0.750 0.750 0.750
Li 0.000 0.000 0.000
Hg 0.500 0.500 0.500
La 0.250 0.250 0.250
! Space group: F-43m
! DFT total energy: -12.746 eV per cell



! SrRe2Cl, relaxed, DFT PBE-GGA; values from VASP
&SYSTEM
  ibrav = 0, nat = 4, ntyp = 3
/
ATOMIC_SPECIES
Cl 35.45 Cl.upf
Sr 87.62 Sr.upf
Re 186.21 Re.upf
CELL_PARAMETERS angstrom
-5.422 3.764 -1.073
-4.245 3.049 -4.171
-3.182 -2.946 -0.529
ATOMIC_POSITIONS crystal
Cl 0.250 0.250 0.250
Sr 0.750 0.750 0.750
Re 0.508 0.508 0.557
Re 0.992 0.992 0.943
! E above lowest polymorph: 0.363 eV/atom
! Space group: C2/m
! Formation energy without anion corrections: 133 kJ/mol of formula units



! Y4Ru3, relaxed, DFT PBE-GGA; values from VASP
&SYSTEM
  ibrav = 0, nat = 7, ntyp = 2
/
ATOMIC_SPECIES
Ru 101.07 Ru.upf
Y 88.91 Y.upf
CELL_PARAMETERS angstrom
2.700 -4.677 0.000
2.700 4.677 0.000
0.000 0.000 6.048
ATOMIC_POSITIONS crystal
Ru 0.500 0.500 0.000
Y 0.000 0.000 0.237
Y 0.000 0.000 0.763
Y 0.333 0.667 0.500
Y 0.667 0.333 0.500
Ru 0.000 0.500 0.000
Ru 0.500 0.000 0.000
! E above lowest polymorph: 0.213 eV/atom
! Space group: P6/mmm



! AcCeSiHg, relaxed, DFT PBE-GGA; values from VASP
&SYSTEM
  ibrav = 0, nat = 4, ntyp = 4
/
ATOMIC_SPECIES
Si 28.09 Si.upf
Hg 200.59 Hg.upf
Ce 140.12 Ce.upf
Ac 227.00 Ac.upf
CELL_PARAMETERS angstrom
-1.329 4.303 3.030
-2.761 -0.684 4.623
2.452 0.821 4.773
ATOMIC_POSITIONS crystal
Si 0.750 0.750 0.750
Hg 0.250 0.250 0.250
Ce 0.500 0.500 0.500
Ac 0.000 0.000 0.000
! Space group: F-43m
! Formation energy without anion corrections: -128 kJ/mol of formula units



! Cu2ReTeMo, relaxed, DFT PBE-GGA; values from VASP
&SYSTEM
  ibrav = 0, nat = 5, ntyp = 4
/
ATOMIC_SPECIES
Cu 63.55 Cu.upf
Mo 95.94 Mo.upf
Te 127.60 Te.upf
Re 186.21 Re.upf
CELL_PARAMETERS angstrom
4.748 0.000 0.000
0.000 4.950 0.000
0.000 0.000 4.748
ATOMIC_POSITIONS crystal
Cu 0.500 0.000 0.000
Mo 0.500 0.500 0.500
Te 0.000 0.500 0.000
Cu 0.000 0.000 0.500
Re 0.000 0.000 0.000
! Space group: P4/mmm
! Formation energy without anion corrections: 757 kJ/mol of formula units



! TaSiSe2Br, relaxed, DFT PBE-GGA; values from VASP
&SYSTEM
  ibrav = 0, nat = 5, ntyp = 4
/
ATOMIC_SPECIES
Si 28.09 Si.upf
Se 78.96 Se.upf
Ta 180.95 Ta.upf
Br 79.90 Br.upf
CELL_PARAMETERS angstrom
-3.039 -3.278 -1.889
3.457 -1.423 -3.094
1.516 -3.240 3.184
ATOMIC_POSITIONS crystal
Si 0.000 0.000 0.000
Se 0.500 0.000 0.000
Ta 0.500 0.500 0.500
Br 0.000 0.000 0.500
Se 0.000 0.500 0.000
! E above lowest polymorph: 0.499 eV/atom
! Space group: P4/mmm
! Formation energy without anion corrections: 393 kJ/mol of formula units



! AcDyZnIr, relaxed, DFT PBE-GGA; values from VASP
&SYSTEM
  ibrav = 0, nat = 4, ntyp = 4
/
ATOMIC_SPECIES
Ac 227.00 Ac.upf
Dy 162.50 Dy.upf
Zn 65.41 Zn.upf
Ir 192.22 Ir.upf
CELL_PARAMETERS angstrom
5.161 0.000 0.000
2.581 4.470 0.000
2.581 1.490 4.214
ATOMIC_POSITIONS crystal
Ac 0.250 0.250 0.250
Dy 0.750 0.750 0.750
Zn 0.000 0.000 0.000
Ir 0.500 0.500 0.500
! Space group: F-43m
! DFT total energy: -20.569 eV per cell



! Tb2Ga2Pb, relaxed, DFT PBE-GGA; values from VASP
&SYSTEM
  ibrav = 0, nat = 10, ntyp = 3
/
ATOMIC_SPECIES
Pb 207.20 Pb.upf
Ga 69.72 Ga.upf
Tb 158.93 Tb.upf
CELL_PARAMETERS angstrom
-3.675 2.169 1.019
0.114 -3.007 6.808
4.065 5.729 2.463
ATOMIC_POSITIONS crystal
Pb 0.000 0.000 0.000
Ga 0.000 0.379 0.879
Tb 0.500 0.672 0.828
Tb 0.500 0.828 0.328
Tb 0.500 0.328 0.172
Tb 0.500 0.172 0.672
Ga 0.000 0.121 0.379
Pb 0.000 0.500 0.500
Ga 0.000 0.879 0.621
Ga 0.000 0.621 0.121
! E above lowest polymorph: 0.004 eV/atom
! Space group: P4/mbm



! KHIr2Br, relaxed, DFT PBE-GGA; values from VASP
&SYSTEM
  ibrav = 0, nat = 5, ntyp = 4
/
ATOMIC_SPECIES
K 39.10 K.upf
Br 79.90 Br.upf
H 1.01 H.upf
Ir 192.22 Ir.upf
CELL_PARAMETERS angstrom
-2.371 1.095 3.807
1.904 -5.561 2.785
3.724 2.130 1.707
ATOMIC_POSITIONS crystal
K 0.000 0.500 0.000
Br 0.000 0.000 0.000
H 0.500 0.500 0.500
Ir 0.000 0.000 0.500
Ir 0.500 0.000 0.000
! Space group: P4/mmm
! DFT total energy: -16.449 eV per cell



! BaHgRu2, relaxed, DFT PBE-GGA; values from VASP
&SYSTEM
  ibrav = 0, nat = 4, ntyp = 3
/
ATOMIC_SPECIES
Ba 137.33 Ba.upf
Hg 200.59 Hg.upf
Ru 101.07 Ru.upf
CELL_PARAMETERS angstrom
8.887 -0.014 -0.008
8.254 3.293 -0.008
8.254 1.579 2.890
ATOMIC_POSITIONS crystal
Ba 0.250 0.250 0.250
Hg 0.750 0.750 0.750
Ru 0.005 0.005 0.005
Ru 0.495 0.495 0.495
! Space group: R-3m
! DFT total energy: -16.405 eV per cell



| no. | calculated density (Mg/m³) |
| --- | --- |
| 1 | 14.04 |
| 2 | 8.60 |
| 3 | 7.13 |
| 4 | 8.84 |
| 5 | 7.16 |
| 6 | 8.75 |
| 7 | 7.99 |
| 8 | 6.58 |
| 9 | 11.05 |
| 10 | 9.08 |
| 11 | 6.04 |
| 12 | 10.53 |